[1]
The following is a GGA-PBE calculation of LuMgScMo after structural relaxation, from the Alexandria database.

Cell lengths 4.9161, 4.9161, 4.9161 Å; angles 60.00, 60.00, 60.00 degrees
Element x y z (fractional)
Lu 0.0000 0.0000 0.0000
Mg 0.7500 0.7500 0.7500
Sc 0.5000 0.5000 0.5000
Mo 0.2500 0.2500 0.2500

symmetry: F-43m, No. 216
ρ: 6.724 Mg/m³
DOS(E_F): 1.28 states/eV per atom
calculated total energy: -5.651 eV per atom
volume: 21.0 Å³/atom
formation enthalpy at 0 K: 0.168 eV/atom

[2]
The following is a GGA-PBE calculation of NpTlI4 after structural relaxation, from the Alexandria database.

Cell lengths 4.6515, 7.8068, 8.7598 Å; angles 101.14, 90.99, 107.33 degrees
Element x y z (fractional)
Np 0.0000 0.0000 0.0000
Tl 0.5000 0.0000 0.5000
I 0.1165 0.2468 0.3273
I 0.3838 0.7621 0.1004
I 0.6162 0.2379 0.8996
I 0.8835 0.7532 0.6727

symmetry: P-1, No. 2
ρ: 5.306 Mg/m³
DOS(E_F): 0.88 states/eV per atom
calculated total energy: -4.377 eV per atom
volume: 49.5 Å³/atom
ΔE_f (raw): -0.792 eV per atom

[3]
The following is a GGA-PBE calculation of Tm2Sc7Cd2 after structural relaxation, from the Alexandria database.

Cell lengths 6.2480, 6.2480, 7.4228 Å; angles 101.10, 101.10, 89.86 degrees
Element x y z (fractional)
Tm 0.1827 0.8173 0.0000
Tm 0.8173 0.1827 0.0000
Sc 0.0000 0.0000 0.5000
Sc 0.1137 0.5248 0.3277
Sc 0.3020 0.3020 0.9693
Sc 0.4752 0.8863 0.6723
Sc 0.5248 0.1137 0.3277
Sc 0.6980 0.6980 0.0307
Sc 0.8863 0.4752 0.6723
Cd 0.4060 0.4060 0.6540
Cd 0.5940 0.5940 0.3460

symmetry: C2/m, No. 12
ρ: 5.225 Mg/m³
DOS(E_F): 1.37 states/eV per atom
calculated total energy: -4.959 eV per atom
volume: 25.4 Å³/atom
formation enthalpy at 0 K: 0.050 eV/atom

[4]
The following is a GGA-PBE calculation of TmCd2Ag6 after structural relaxation, from the Alexandria database.

Cell lengths 5.3126, 5.3126, 9.0586 Å; angles 110.77, 110.77, 47.94 degrees
Element x y z (fractional)
Tm 0.0000 0.0000 0.0000
Cd 0.3334 0.3334 0.4384
Cd 0.6666 0.6666 0.5616
Ag 0.0050 0.0050 0.3373
Ag 0.3265 0.3265 0.7730
Ag 0.3394 0.3394 0.1118
Ag 0.6606 0.6606 0.8882
Ag 0.6735 0.6735 0.2270
Ag 0.9950 0.9950 0.6627

symmetry: C2/m, No. 12
ρ: 9.881 Mg/m³
DOS(E_F): 0.21 states/eV per atom
calculated total energy: -2.730 eV per atom
volume: 19.4 Å³/atom
formation enthalpy at 0 K: -0.129 eV/atom

[5]
The following is a GGA-PBE calculation of KZnCdPb after structural relaxation, from the Alexandria database.

Cell lengths 5.3981, 5.3981, 5.3981 Å; angles 60.00, 60.00, 60.00 degrees
Element x y z (fractional)
K 0.0000 0.0000 0.0000
Zn 0.7500 0.7500 0.7500
Cd 0.2500 0.2500 0.2500
Pb 0.5000 0.5000 0.5000

symmetry: F-43m, No. 216
ρ: 6.332 Mg/m³
DOS(E_F): 0.81 states/eV per atom
calculated total energy: -1.688 eV per atom
volume: 27.8 Å³/atom
formation enthalpy at 0 K: 0.060 eV/atom

[6]
The following is a GGA-PBE calculation of YZn2Si after structural relaxation, from the Alexandria database.

Cell lengths 5.9700, 5.9700, 3.2630 Å; angles 105.71, 105.71, 122.26 degrees
Element x y z (fractional)
Y 0.0000 0.0000 0.0000
Zn 0.0000 0.5000 0.5000
Zn 0.5000 0.0000 0.5000
Si 0.5000 0.5000 0.0000

symmetry: C2/m, No. 12
ρ: 5.054 Mg/m³
DOS(E_F): 0.58 states/eV per atom
calculated total energy: -3.659 eV per atom
volume: 20.4 Å³/atom
ΔE_f (raw): -0.050 eV per atom

[7]
The following is a GGA-PBE calculation of Ba2PmThS6 after structural relaxation, from the Alexandria database.

Cell lengths 7.3697, 7.7470, 12.8262 Å; angles 90.00, 124.38, 90.00 degrees
Element x y z (fractional)
Ba 0.2243 0.0683 0.2485
Ba 0.2243 0.4317 0.7485
Ba 0.7757 0.5683 0.2515
Ba 0.7757 0.9317 0.7515
Pm 0.0000 0.0000 0.5000
Pm 0.0000 0.5000 0.0000
Th 0.5000 0.0000 0.0000
Th 0.5000 0.5000 0.5000
S 0.1475 0.2013 0.9464
S 0.1475 0.2987 0.4464
S 0.2446 0.7068 0.9435
S 0.2446 0.7932 0.4435
S 0.3561 0.0339 0.7508
S 0.3561 0.4661 0.2508
S 0.6439 0.5339 0.7492
S 0.6439 0.9661 0.2492
S 0.7554 0.2068 0.5565
S 0.7554 0.2932 0.0565
S 0.8525 0.7013 0.5536
S 0.8525 0.7987 0.0536

symmetry: P2_1/c, No. 14
ρ: 4.638 Mg/m³
DOS(E_F): 1.54 states/eV per atom
calculated total energy: -5.938 eV per atom
volume: 30.2 Å³/atom
ΔE_f (raw): -1.860 eV per atom

[8]
The following is a GGA-PBE calculation of AlCdNi2 after structural relaxation, from the Alexandria database.

Cell lengths 2.9932, 3.0040, 6.3899 Å; angles 90.00, 90.00, 90.00 degrees
Element x y z (fractional)
Al 0.0000 0.0000 0.0000
Cd 0.5000 0.5000 0.6578
Ni 0.0000 0.0000 0.3970
Ni 0.5000 0.5000 0.1806

symmetry: Pmm2, No. 25
ρ: 7.421 Mg/m³
DOS(E_F): 0.75 states/eV per atom
calculated total energy: -4.160 eV per atom
volume: 14.4 Å³/atom
formation enthalpy at 0 K: -0.105 eV/atom

[9]
The following is a GGA-PBE calculation of ZnWBr2 after structural relaxation, from the Alexandria database.

Cell lengths 4.7001, 4.7001, 4.7001 Å; angles 60.00, 60.00, 60.00 degrees
Element x y z (fractional)
Zn 0.0000 0.0000 0.0000
W 0.5000 0.5000 0.5000
Br 0.2500 0.2500 0.2500
Br 0.7500 0.7500 0.7500

symmetry: Fm-3m, No. 225
ρ: 9.252 Mg/m³
DOS(E_F): 0.27 states/eV per atom
calculated total energy: -3.390 eV per atom
volume: 18.4 Å³/atom
ΔE_f (raw): 1.003 eV per atom

[10]
The following is a GGA-PBE calculation of Hf3TcSe after structural relaxation, from the Alexandria database.

Cell lengths 4.8421, 4.8421, 4.8421 Å; angles 90.00, 90.00, 90.00 degrees
Element x y z (fractional)
Hf 0.0000 0.0000 0.5000
Hf 0.0000 0.5000 0.0000
Hf 0.5000 0.0000 0.0000
Tc 0.5000 0.5000 0.5000
Se 0.0000 0.0000 0.0000

symmetry: Pm-3m, No. 221
ρ: 10.420 Mg/m³
DOS(E_F): 0.52 states/eV per atom
calculated total energy: -8.272 eV per atom
volume: 22.7 Å³/atom
ΔE_f (raw): 0.470 eV per atom

[11]
The following is a GGA-PBE calculation of MgRhF after structural relaxation, from the Alexandria database.

Cell lengths 2.7774, 2.7774, 10.3533 Å; angles 90.00, 90.00, 90.00 degrees
Element x y z (fractional)
Mg 0.2500 0.2500 0.2093
Mg 0.7500 0.7500 0.7907
Rh 0.2500 0.2500 0.5860
Rh 0.7500 0.7500 0.4140
F 0.2500 0.2500 0.8826
F 0.7500 0.7500 0.1174

symmetry: P4/nmm, No. 129
ρ: 6.080 Mg/m³
DOS(E_F): 1.01 states/eV per atom
calculated total energy: -5.187 eV per atom
volume: 13.3 Å³/atom
ΔE_f (raw): -1.581 eV per atom

[12]
The following is a GGA-PBE calculation of Cd4HgOs after structural relaxation, from the Alexandria database.

Cell lengths 5.5728, 5.5728, 5.5728 Å; angles 60.00, 60.00, 60.00 degrees
Element x y z (fractional)
Cd 0.3756 0.3756 0.3756
Cd 0.3756 0.3756 0.8732
Cd 0.3756 0.8732 0.3756
Cd 0.8732 0.3756 0.3756
Hg 0.0000 0.0000 0.0000
Os 0.7500 0.7500 0.7500

symmetry: F-43m, No. 216
ρ: 11.404 Mg/m³
DOS(E_F): 0.67 states/eV per atom
calculated total energy: -1.829 eV per atom
volume: 20.4 Å³/atom
formation enthalpy at 0 K: 0.703 eV/atom

[13]
The following is a GGA-PBE calculation of HoPu2ThAs4 after structural relaxation, from the Alexandria database.

Cell lengths 7.1924, 4.1835, 7.2270 Å; angles 90.00, 109.61, 90.00 degrees
Element x y z (fractional)
Ho 0.0000 0.0000 0.0000
Pu 0.5000 0.0000 0.5000
Pu 0.5000 0.5000 0.0000
Th 0.0000 0.5000 0.5000
As 0.2521 0.5000 0.2466
As 0.2546 0.0000 0.7563
As 0.7454 0.0000 0.2437
As 0.7479 0.5000 0.7534

symmetry: P2/m, No. 10
ρ: 9.603 Mg/m³
DOS(E_F): 2.64 states/eV per atom
calculated total energy: -8.669 eV per atom
volume: 25.6 Å³/atom
formation enthalpy at 0 K: -1.261 eV/atom